The following is a GGA-PBE calculation of a relaxed RbCa3Br crystal, from the Alexandria database.

abc: 7.335 7.335 7.335
angles: 90.00 90.00 90.00
Space group Pm-3m (No. 221)
Unique sites:
Rb 0.000 0.000 0.000 [1 per cell]
Ca 0.000 0.000 0.500 [3 per cell]
Br 0.500 0.500 0.500 [1 per cell]

Output
distance to the lowest polymorph of the same formula: 0.866 eV/atom
E_tot: -5.3 eV/cell
crystal system: cubic
uncorrected formation energy: 3.30 eV/f.u.
calculated volume: 78.920 A^3/atom